No. 1
First-principles (PBE) data for a geometry-optimized Ce2ErNi structure, as listed in Alexandria via LeMat-Bulk.

The theoretical density comes out at 8.4 g/cm3. As for the magnetization: 0.0011 μB per atom. The formation energy comes out at -0.059 eV per atom.

The space group is P4/mmm (No. 123) and the conventional cell measures 3.550, 3.550 and 7.956 Å, with angles of 90.00, 90.00 and 90.00 degrees. The distinct sites, in fractional coordinates, are Ce at (0.000, 0.000, 0.186), Er at (0.500, 0.500, 0.500) and Ni at (0.500, 0.500, 0.000).

No. 2
First-principles (PBE) data for a geometry-optimized Li2EuBi structure, as listed in Alexandria via LeMat-Bulk.

The theoretical density comes out at 6.6 g/cm3. As for the magnetization: 1.8933 μB per atom. The formation energy comes out at -0.436 eV per atom.

The space group is Fm-3m (No. 225) and the conventional cell measures 7.225, 7.225 and 7.225 Å, with angles of 90.00, 90.00 and 90.00 degrees. The distinct sites, in fractional coordinates, are Li at (0.250, 0.250, 0.250), Eu at (0.000, 0.000, 0.000) and Bi at (0.000, 0.000, 0.500).

No. 3
First-principles (PBE) data for a geometry-optimized Sb2AsHPt structure, as listed in Alexandria via LeMat-Bulk.

The theoretical density comes out at 6.1 g/cm3. As for the magnetization: 0.1519 μB per atom. The calculation puts the uncorrected energy at -3.429 eV/atom.

The space group is P4/mmm (No. 123) and the conventional cell measures 5.485, 5.485 and 4.621 Å, with angles of 90.00, 90.00 and 90.00 degrees. The distinct sites, in fractional coordinates, are Sb at (0.000, 0.500, 0.000), As at (0.000, 0.000, 0.000), H at (0.500, 0.500, 0.500) and Pt at (0.000, 0.000, 0.500).

No. 4
First-principles (PBE) data for a geometry-optimized Fe2ReRu structure, as listed in Alexandria via LeMat-Bulk.

The theoretical density comes out at 12.8 g/cm3. As for the magnetization: 0.9621 μB per atom. The formation energy comes out at 0.106 eV per atom.

The space group is Pmm2 (No. 25) and the conventional cell measures 2.685, 3.692 and 5.240 Å, with angles of 90.00, 90.00 and 90.00 degrees. The distinct sites, in fractional coordinates, are Fe at (0.000, 0.000, 0.000), Fe at (0.500, 0.500, 0.229), Re at (0.000, 0.000, 0.481) and Ru at (0.500, 0.500, 0.745).

No. 5
First-principles (PBE) data for a geometry-optimized AsC2 structure, as listed in Alexandria via LeMat-Bulk.

The theoretical density comes out at 3.5 g/cm3. As for the magnetization: 0.0000 μB per atom. The formation energy comes out at 0.690 eV per atom.

The space group is Cm (No. 8) and the conventional cell measures 2.540, 8.466 and 4.555 Å, with angles of 90.00, 105.87 and 90.00 degrees. The distinct sites, in fractional coordinates, are As at (0.000, 0.000, 0.000) and C at (0.096, 0.212, 0.196).